No. 1
Below is a geometry-optimized MgTc2Mo structure, with properties calculated at the PBE-GGA level.

Lattice parameters (Å, degrees): 5.1679 5.1679 5.1679 137.84 137.84 61.14
Closest atoms and distances in Å follow each position.
Positions (direct):
Mg (0.5000, 0.5000, 0.0000)  8 Tc 2.63-2.90, 4 Mo 2.90
Mo (0.7500, 0.2500, 0.5000)  8 Tc 2.63-2.90, 4 Mg 2.90
Tc (0.0000, 0.0000, 0.0000)  4 Mg 2.63, 4 Mo 2.90, 4 Tc 2.90
Tc (0.2500, 0.7500, 0.5000)  4 Mo 2.63, 4 Tc 2.90, 4 Mg 2.90

ΔE_f = 0.2937 eV per atom
SG = No. 119

No. 2
Below is a geometry-optimized U2PaP3 structure, with properties calculated at the PBE-GGA level.

Lattice parameters (Å, degrees): 3.7627 7.3863 8.4404 90.00 90.00 90.00
Closest atoms and distances in Å follow each position.
Positions (direct):
U (0.0000, 0.9589, 0.2952)  2 U 2.59, 5 P 2.68-2.82
U (0.5000, 0.0890, 0.4737)  2 U 2.59, 4 P 2.74-2.80
U (0.0000, 0.4589, 0.7048)  2 U 2.59, 5 P 2.68-2.82
U (0.5000, 0.5890, 0.5263)  2 U 2.59, 4 P 2.74-2.80
Pa (0.0000, 0.9431, 0.9076)  7 P 2.72-2.99
Pa (0.0000, 0.4431, 0.0924)  7 P 2.72-2.99
P (0.5000, 0.1530, 0.1133)  1 P 2.56, 2 U 2.82, 2 Pa 2.86
P (0.5000, 0.2108, 0.8143)  1 P 2.56, 2 U 2.78, 2 Pa 2.84
P (0.0000, 0.3465, 0.4034)  5 U 2.68-2.80, 1 Pa 2.72
P (0.5000, 0.6530, 0.8867)  1 P 2.56, 2 U 2.82, 2 Pa 2.86
P (0.5000, 0.7108, 0.1857)  1 P 2.56, 2 U 2.78, 2 Pa 2.84
P (0.0000, 0.8465, 0.5966)  5 U 2.68-2.80, 1 Pa 2.72

ΔE_f = -0.8105 eV per atom
SG = No. 26
Excess energy over the best structure of this formula in the dataset = 268 meV per atom

| no. | density (g/cm³) |
| --- | --- |
| 1 | 8.54 |
| 2 | 11.33 |